1.
The following is a DFT calculation (PBE-GGA) of a relaxed structure of Rb4CdBr6.

Cell lengths 13.2510, 13.2510, 16.5430 Å; angles 90.00, 90.00, 120.00 degrees
Space group R-3c (No. 167, hexagonal axes)
One atom of each set of equivalent atoms:
Rb (0.0000, 0.0000, 0.2500) (multiplicity 6)
Rb (0.0000, 0.3767, 0.2500) (multiplicity 18)
Cd (0.0000, 0.0000, 0.0000) (multiplicity 6)
Br (0.0300, 0.1882, 0.4005) (multiplicity 36)

2.
The following is a DFT calculation (PBE-GGA) of a relaxed structure of Lu4BiPbC2.

Cell lengths 3.5733, 3.5733, 15.4521 Å; angles 90.00, 90.00, 120.00 degrees
Space group P-6m2 (No. 187)
One atom of each set of equivalent atoms:
Lu (0.0000, 0.0000, 0.1681) (multiplicity 2)
Lu (0.3333, 0.6667, 0.3324) (multiplicity 2)
Bi (0.0000, 0.0000, 0.5000) (multiplicity 1)
Pb (0.3333, 0.6667, 0.0000) (multiplicity 1)
C (0.6667, 0.3333, 0.2520) (multiplicity 2)

3.
The following is a DFT calculation (PBE-GGA) of a relaxed structure of BaNdPd.

Cell lengths 7.4093, 7.4093, 7.4093 Å; angles 90.00, 90.00, 90.00 degrees
Space group F-43m (No. 216)
One atom of each set of equivalent atoms:
Ba (0.0000, 0.0000, 0.0000) (multiplicity 4)
Nd (0.0000, 0.0000, 0.5000) (multiplicity 4)
Pd (0.2500, 0.2500, 0.2500) (multiplicity 4)

Distance to the lowest polymorph of the same formula (eV/f.u.): 0.00

4.
The following is a DFT calculation (PBE-GGA) of a relaxed structure of Er2NbFeSi2.

Cell lengths 3.9145, 3.9145, 7.4126 Å; angles 90.00, 90.00, 90.00 degrees
Space group P-4m2 (No. 115)
One atom of each set of equivalent atoms:
Er (0.0000, 0.5000, 0.1511) (multiplicity 2)
Nb (0.0000, 0.0000, 0.5000) (multiplicity 1)
Fe (0.5000, 0.5000, 0.5000) (multiplicity 1)
Si (0.0000, 0.5000, 0.7300) (multiplicity 2)

5.
The following is a DFT calculation (PBE-GGA) of a relaxed structure of BeCdB.

Cell lengths 5.4731, 5.4731, 5.4731 Å; angles 90.00, 90.00, 90.00 degrees
Space group F-43m (No. 216)
One atom of each set of equivalent atoms:
Be (0.0000, 0.0000, 0.0000) (multiplicity 4)
Cd (0.2500, 0.2500, 0.7500) (multiplicity 4)
B (0.0000, 0.0000, 0.5000) (multiplicity 4)

6.
The following is a DFT calculation (PBE-GGA) of a relaxed structure of TbTl2Mo2.

Cell lengths 4.5880, 4.5880, 11.2367 Å; angles 90.00, 90.00, 90.00 degrees
Space group I4/mmm (No. 139)
One atom of each set of equivalent atoms:
Tb (0.0000, 0.0000, 0.0000) (multiplicity 2)
Tl (0.0000, 0.5000, 0.2500) (multiplicity 4)
Mo (0.0000, 0.0000, 0.4045) (multiplicity 4)

Distance to the lowest polymorph of the same formula (eV/f.u.): 0.50

7.
The following is a DFT calculation (PBE-GGA) of a relaxed structure of TlCuTe2MoSe.

Cell lengths 3.9151, 15.3266, 10.0170 Å; angles 90.00, 90.00, 90.00 degrees
Space group Cmcm (No. 63)
One atom of each set of equivalent atoms:
Tl (0.0000, 0.2425, 0.2500) (multiplicity 4)
Cu (0.0000, 0.0276, 0.7500) (multiplicity 4)
Te (0.0000, 0.1285, 0.5450) (multiplicity 8)
Mo (0.0000, 0.5000, 0.0000) (multiplicity 4)
Se (0.0000, 0.4351, 0.7500) (multiplicity 4)

8.
The following is a DFT calculation (PBE-GGA) of a relaxed structure of Pr2Sm2CI2Br3.

Cell lengths 18.7051, 3.9906, 8.4722 Å; angles 90.00, 102.10, 90.00 degrees
Space group C2/m (No. 12)
One atom of each set of equivalent atoms:
Pr (0.1392, 0.0000, 0.0664) (multiplicity 4)
Sm (0.0022, 0.5000, 0.7984) (multiplicity 4)
C (0.0000, 0.0000, 0.0000) (multiplicity 2)
I (0.1653, 0.5000, 0.3607) (multiplicity 4)
Br (0.0000, 0.0000, 0.5000) (multiplicity 2)
Br (0.1668, 0.5000, 0.8180) (multiplicity 4)

Distance to the lowest polymorph of the same formula (eV/f.u.): 0.17

no.,E (eV per atom)
1,-2.868
2,-6.130
3,-4.178
4,-6.958
5,-2.580
6,-5.747
7,-4.563
8,-4.925